The following is a DFT calculation (meta-GGA SCAN) of a PBEsol-optimized structure of LaMg2SiCl.

a = 4.920 Å, b = 4.920 Å, c = 5.518 Å
α = 90.00°, β = 90.00°, γ = 90.00°
Space group P4/mmm (No. 123)
Asymmetric unit:
La (0.000, 0.000, 0.000) x1
Mg (0.000, 0.500, 0.500) x2
Si (0.500, 0.500, 0.500) x1
Cl (0.500, 0.500, 0.000) x1

Computed properties:
As for the raw formation energy: 0.040 eV/atom. Its density of states at the Fermi level is 0.931 states/eV per atom.